CdIn2Ni | GGA-PBE | optimized geometry

Structure (CIF):
```
data_CdIn2Ni
_chemical_formula_sum 'Cd3 In6 Ni3'
_cell_length_a 3.3189
_cell_length_b 3.3189
_cell_length_c 26.3555
_cell_angle_alpha 90.00
_cell_angle_beta 90.00
_cell_angle_gamma 120.00
_space_group_name_H-M_alt 'R -3 m'
_space_group_IT_number 166
_space_group_name_Hall '-R 3 2"'
loop_
_atom_site_label
_atom_site_fract_x
_atom_site_fract_y
_atom_site_fract_z
_atom_site_occupancy
Cd1 0.0000 0.0000 0.0000 1
In1 0.0000 0.0000 0.2363 1
Ni1 0.0000 0.0000 0.5000 1
```

crystal system = trigonal

=====

Rb2ErAgF6 | GGA-PBE | optimized geometry

Structure (CIF):
```
data_Rb2ErAgF6
_chemical_formula_sum 'Rb4 Er2 Ag2 F12'
_cell_length_a 6.504
_cell_length_b 6.560
_cell_length_c 11.115
_cell_angle_alpha 90.00
_cell_angle_beta 125.74
_cell_angle_gamma 90.00
_space_group_name_H-M_alt 'P 1 21/c 1'
_space_group_IT_number 14
_space_group_name_Hall '-P 2ybc'
loop_
_atom_site_label
_atom_site_fract_x
_atom_site_fract_y
_atom_site_fract_z
_atom_site_occupancy
Rb1 0.244 0.032 0.250 1
Er1 0.500 0.000 0.000 1
Ag1 0.000 0.000 0.500 1
F1 0.202 0.193 0.968 1
F2 0.272 0.734 0.963 1
F3 0.332 0.021 0.765 1
```

crystal system = monoclinic
formation energy (no corrections) = -29.82 eV/f.u.

=====

LaCe2ReC4 | GGA-PBE | optimized geometry

Structure (CIF):
```
data_LaCe2ReC4
_chemical_formula_sum 'La4 Ce8 Re4 C16'
_cell_length_a 3.587
_cell_length_b 12.319
_cell_length_c 12.602
_cell_angle_alpha 90.00
_cell_angle_beta 90.00
_cell_angle_gamma 90.00
_space_group_name_H-M_alt 'C m c m'
_space_group_IT_number 63
_space_group_name_Hall '-C 2c 2'
loop_
_atom_site_label
_atom_site_fract_x
_atom_site_fract_y
_atom_site_fract_z
_atom_site_occupancy
La1 0.000 0.098 0.250 1
Ce1 0.000 0.370 0.040 1
Re1 0.000 0.166 0.750 1
C1 0.000 0.000 0.000 1
C2 0.000 0.260 0.630 1
C3 0.000 0.414 0.250 1
```

crystal system = orthorhombic

=====

Pm3Si7Pt2 | GGA-PBE | optimized geometry

Structure (CIF):
```
data_Pm3Si7Pt2
_chemical_formula_sum 'Pm3 Si7 Pt2'
_cell_length_a 4.287
_cell_length_b 4.168
_cell_length_c 12.854
_cell_angle_alpha 90.00
_cell_angle_beta 98.45
_cell_angle_gamma 90.00
_space_group_name_H-M_alt 'P 1 2/m 1'
_space_group_IT_number 10
_space_group_name_Hall '-P 2y'
loop_
_atom_site_label
_atom_site_fract_x
_atom_site_fract_y
_atom_site_fract_z
_atom_site_occupancy
Pm1 0.000 0.000 0.000 1
Pm2 0.302 0.500 0.631 1
Si1 0.213 0.500 0.171 1
Si2 0.231 0.000 0.452 1
Si3 0.404 0.000 0.828 1
Si4 0.500 0.500 0.000 1
Pt1 0.126 0.000 0.262 1
```

crystal system = monoclinic
formation energy (no corrections) = -8.84 eV/f.u.

=====

LaMg4Tl2 | GGA-PBE | optimized geometry

Structure (CIF):
```
data_LaMg4Tl2
_chemical_formula_sum 'La2 Mg8 Tl4'
_cell_length_a 4.602
_cell_length_b 17.366
_cell_length_c 4.599
_cell_angle_alpha 90.00
_cell_angle_beta 90.00
_cell_angle_gamma 90.00
_space_group_name_H-M_alt 'C m m m'
_space_group_IT_number 65
_space_group_name_Hall '-C 2 2'
loop_
_atom_site_label
_atom_site_fract_x
_atom_site_fract_y
_atom_site_fract_z
_atom_site_occupancy
La1 0.000 0.000 0.000 1
Mg1 0.000 0.187 0.500 1
Mg2 0.000 0.312 0.000 1
Tl1 0.000 0.416 0.500 1
```

crystal system = orthorhombic
polymorph energy (0 for the lowest one) = 15 meV/atom

=====

La6Pr12Er | GGA-PBE | optimized geometry

Structure (CIF):
```
data_La6Pr12Er
_chemical_formula_sum 'La18 Pr36 Er3'
_cell_length_a 13.8659
_cell_length_b 13.8659
_cell_length_c 12.7063
_cell_angle_alpha 90.00
_cell_angle_beta 90.00
_cell_angle_gamma 120.00
_space_group_name_H-M_alt 'R -3 m'
_space_group_IT_number 166
_space_group_name_Hall '-R 3 2"'
loop_
_atom_site_label
_atom_site_fract_x
_atom_site_fract_y
_atom_site_fract_z
_atom_site_occupancy
La1 0.0467 0.5233 0.1139 1
Pr1 0.0000 0.2558 0.0000 1
Pr2 0.0897 0.1795 0.7624 1
Er1 0.0000 0.0000 0.5000 1
```

crystal system = trigonal
polymorph energy (0 for the lowest one) = 69 meV/atom

=====

Na2HoIO6 | GGA-PBE | optimized geometry

Structure (CIF):
```
data_Na2HoIO6
_chemical_formula_sum 'Na4 Ho2 I2 O12'
_cell_length_a 5.632
_cell_length_b 5.724
_cell_length_c 9.798
_cell_angle_alpha 90.00
_cell_angle_beta 124.98
_cell_angle_gamma 90.00
_space_group_name_H-M_alt 'P 1 21/c 1'
_space_group_IT_number 14
_space_group_name_Hall '-P 2ybc'
loop_
_atom_site_label
_atom_site_fract_x
_atom_site_fract_y
_atom_site_fract_z
_atom_site_occupancy
Na1 0.244 0.033 0.251 1
Ho1 0.500 0.000 0.000 1
I1 0.000 0.000 0.500 1
O1 0.136 0.229 0.953 1
O2 0.229 0.689 0.958 1
O3 0.314 0.026 0.728 1
```

crystal system = monoclinic
formation energy (no corrections) = -16.75 eV/f.u.

=====

Cs2PrPdI6 | GGA-PBE | optimized geometry

Structure (CIF):
```
data_Cs2PrPdI6
_chemical_formula_sum 'Cs12 Pr6 Pd6 I36'
_cell_length_a 8.5879
_cell_length_b 8.5879
_cell_length_c 42.3425
_cell_angle_alpha 90.00
_cell_angle_beta 90.00
_cell_angle_gamma 120.00
_space_group_name_H-M_alt 'R -3 m'
_space_group_IT_number 166
_space_group_name_Hall '-R 3 2"'
loop_
_atom_site_label
_atom_site_fract_x
_atom_site_fract_y
_atom_site_fract_z
_atom_site_occupancy
Cs1 0.0000 0.0000 0.1213 1
Cs2 0.0000 0.0000 0.2958 1
Pr1 0.0000 0.0000 0.4176 1
Pd1 0.0000 0.0000 0.0000 1
Pd2 0.0000 0.0000 0.5000 1
I1 0.0033 0.5017 0.8718 1
I2 0.0104 0.5052 0.7074 1
```

crystal system = trigonal
formation energy (no corrections) = -11.51 eV/f.u.

=====

Q: Which magnetic moment values were calculated for the entries above? A: 0.00, 0.01, 0.00, 0.00, 0.00, 0.00, 0.00, 0.10, in μB per atom.
Q: Which E values were calculated for the entries above? A: -35.8, -100.8, -266.0, -73.1, -34.4, -264.3, -110.5, -194.9, in eV for the cell shown.